NaSmV4O12 | the Alexandria database | PBE+U | optimized geometry; DFT total energy = -7.272 eV per atom; ρ = 4.46 g/cm3
1.0
5.310 0.000 0.000
0.000 5.310 0.000
0.000 0.000 7.519
Na Sm V O
1 1 4 12
direct
0.000 0.000 0.000 Na
0.500 0.500 0.500 Sm
0.000 0.500 0.246 V
0.000 0.500 0.754 V
0.500 0.000 0.246 V
0.500 0.000 0.754 V
0.000 0.500 0.000 O
0.000 0.500 0.500 O
0.255 0.255 0.257 O
0.255 0.255 0.743 O
0.255 0.745 0.257 O
0.255 0.745 0.743 O
0.500 0.000 0.000 O
0.500 0.000 0.500 O
0.745 0.255 0.257 O
0.745 0.255 0.743 O
0.745 0.745 0.257 O
0.745 0.745 0.743 O